An optimized crystal structure of TiSi3Mo. Source: Alexandria via LeMat-Bulk, functional PBE-GGA.

Summary:
* formation energy without anion corrections: 0.767 eV per atom
* total DFT energy (no corrections): -6.23 eV per atom
* energy above the most stable polymorph in this dataset: 0.0 meV/atom
* space group: Pm-3m, No. 221

abc: 4.642 4.642 4.642
angles: 90.00 90.00 90.00
Element x y z (fractional)
1 Ti 0.000 0.000 0.000
2 Si 0.000 0.500 0.500
3 Si 0.500 0.000 0.500
4 Si 0.500 0.500 0.000
5 Mo 0.500 0.500 0.500